1.
A plane-wave DFT calculation with PBE was carried out for a geometry-optimized HfMn2Cu2 structure.

It has space group P4/mbm (No. 127), with a = 7.0953 Å, b = 7.0953 Å, c = 2.9251 Å, α = 90.00°, β = 90.00° and γ = 90.00°. The inequivalent atoms are Hf at (0.0000, 0.0000, 0.0000), Mn at (0.1473, 0.3527, 0.0000) and Cu at (0.1471, 0.6471, 0.5000).

The calculation puts the distance to the lowest polymorph of the same formula at 0.026 eV per atom.

2.
A plane-wave DFT calculation with PBE was carried out for a geometry-optimized HfMnCu structure.

It has space group I4/mmm (No. 139), with a = 3.7658 Å, b = 3.7658 Å, c = 13.3793 Å, α = 90.00°, β = 90.00° and γ = 90.00°. The inequivalent atoms are Hf at (0.0000, 0.0000, 0.1674), Mn at (0.0000, 0.5000, 0.0000) and Cu at (0.0000, 0.0000, 0.3741).

3.
A plane-wave DFT calculation with PBE was carried out for a geometry-optimized HfMnCu structure.

It has space group I4mm (No. 107), with a = 3.2481 Å, b = 3.2481 Å, c = 8.9019 Å, α = 90.00°, β = 90.00° and γ = 90.00°. The inequivalent atoms are Hf at (0.0000, 0.0000, 0.0000), Mn at (0.0000, 0.0000, 0.3263) and Cu at (0.0000, 0.0000, 0.6776).

4.
A plane-wave DFT calculation with PBE was carried out for a geometry-optimized Hf3Mn2Cu structure.

It has space group P4/mmm (No. 123), with a = 3.1719 Å, b = 3.1719 Å, c = 9.6870 Å, α = 90.00°, β = 90.00° and γ = 90.00°. The inequivalent atoms are Hf at (0.0000, 0.0000, 0.0000), Hf at (0.0000, 0.0000, 0.3208), Mn at (0.5000, 0.5000, 0.1682) and Cu at (0.5000, 0.5000, 0.5000).

5.
A plane-wave DFT calculation with PBE was carried out for a geometry-optimized Hf2MnCu structure.

It has space group I-42d (No. 122), with a = 4.0708 Å, b = 4.0708 Å, c = 18.3024 Å, α = 90.00°, β = 90.00° and γ = 90.00°. The inequivalent atoms are Hf at (0.2473, 0.2500, 0.1250), Mn at (0.0000, 0.0000, 0.0000) and Cu at (0.0000, 0.0000, 0.5000).

6.
A plane-wave DFT calculation with PBE was carried out for a geometry-optimized Hf3MnCu structure.

It has space group Pm-3m (No. 221), with a = 4.7501 Å, b = 4.7501 Å, c = 4.7501 Å, α = 90.00°, β = 90.00° and γ = 90.00°. The inequivalent atoms are Hf at (0.0000, 0.0000, 0.5000), Mn at (0.0000, 0.0000, 0.0000) and Cu at (0.5000, 0.5000, 0.5000).

The calculation puts the distance to the lowest polymorph of the same formula at 0.000 eV per atom.

7.
A plane-wave DFT calculation with PBE was carried out for a geometry-optimized HfMnCu2Ni structure.

It has space group P4/mmm (No. 123), with a = 4.7519 Å, b = 4.7519 Å, c = 4.5260 Å, α = 90.00°, β = 90.00° and γ = 90.00°. The inequivalent atoms are Hf at (0.0000, 0.0000, 0.0000), Mn at (0.0000, 0.0000, 0.5000), Cu at (0.0000, 0.5000, 0.0000) and Ni at (0.5000, 0.5000, 0.5000).

8.
A plane-wave DFT calculation with PBE was carried out for a geometry-optimized RbHfMn2Cu structure.

It has space group P4/mmm (No. 123), with a = 4.8606 Å, b = 4.8606 Å, c = 5.2295 Å, α = 90.00°, β = 90.00° and γ = 90.00°. The inequivalent atoms are Rb at (0.0000, 0.0000, 0.0000), Hf at (0.5000, 0.5000, 0.0000), Mn at (0.0000, 0.5000, 0.5000) and Cu at (0.0000, 0.0000, 0.5000).

Formation energy values, unit meV per atom, following the record order: 188, 37, -2, -156, 620, 552, 1664, 1477.